# Ca2MnGa5Rh2 | Alexandria via LeMat-Bulk | PBE | relaxed
# ΔE_f in eV per formula unit: -4.280
# Final energy in eV/atom: -4.7290
data_Ca2MnGa5Rh2
_cell_length_a 9.905
_cell_length_b 9.905
_cell_length_c 3.721
_cell_angle_alpha 90.00
_cell_angle_beta 90.00
_cell_angle_gamma 90.00
_space_group_name_H-M_alt 'P 4/m b m'
_space_group_IT_number 127
_space_group_name_Hall '-P 4 2ab'
loop_
_atom_site_label
_atom_site_fract_x
_atom_site_fract_y
_atom_site_fract_z
Ca1 0.181 0.319 0.000
Mn1 0.000 0.000 0.000
Ga1 0.000 0.500 0.500
Ga2 0.057 0.803 0.500
Rh1 0.119 0.619 0.000